{
  "formula": "Y2Zr3",
  "functional": "PBE",
  "state": "relaxed",
  "formation_energy_ev_per_atom": 0.13,
  "m_tot_mub_per_fu": 0.00,
  "polymorph_energy_ev_per_atom": 0.000,
  "lattice": [[1.661, 0.959, 13.713], [-1.661, 0.959, 13.713], [0.000, -1.918, 13.713]],
  "species": ["Y", "Y", "Zr", "Zr", "Zr"],
  "frac_coords": [[0.100, 0.100, 0.100], [0.900, 0.900, 0.900], [0.303, 0.303, 0.303], [0.500, 0.500, 0.500], [0.697, 0.697, 0.697]]
}

{
  "formula": "Rb2TlCu2Br6",
  "functional": "PBE",
  "state": "relaxed",
  "e_form_raw_ev_per_fu": -10.09,
  "m_tot_mub_per_fu": 1.08,
  "lattice": [[6.775, -3.813, 0.000], [6.775, 3.813, 0.000], [-3.996, 0.000, 8.172]],
  "species": ["Rb", "Rb", "Tl", "Cu", "Cu", "Br", "Br", "Br", "Br", "Br", "Br"],
  "frac_coords": [[0.206, 0.206, 0.198], [0.794, 0.794, 0.802], [0.000, 0.000, 0.500], [0.459, 0.459, 0.763], [0.541, 0.541, 0.237], [0.179, 0.679, 0.171], [0.268, 0.268, 0.619], [0.321, 0.821, 0.829], [0.679, 0.179, 0.171], [0.732, 0.732, 0.381], [0.821, 0.321, 0.829]]
}

{
  "formula": "Si2NiIr",
  "functional": "PBE",
  "state": "relaxed",
  "e_form_raw_ev_per_fu": -2.06,
  "m_tot_mub_per_fu": 0.00,
  "lattice": [[2.936, 0.000, 0.000], [0.000, 3.505, 0.000], [0.000, 0.000, 4.981]],
  "species": ["Si", "Si", "Ni", "Ir"],
  "frac_coords": [[0.000, 0.000, 0.000], [0.500, 0.500, 0.313], [0.500, 0.500, 0.848], [0.000, 0.000, 0.500]]
}

{
  "formula": "KZr2ScW",
  "functional": "PBE",
  "state": "relaxed",
  "formation_energy_ev_per_atom": 1.26,
  "m_tot_mub_per_fu": 0.00,
  "lattice": [[5.063, 0.000, 0.000], [0.000, 5.063, 0.000], [0.000, 0.000, 6.004]],
  "species": ["K", "Zr", "Zr", "Sc", "W"],
  "frac_coords": [[0.000, 0.000, 0.000], [0.000, 0.500, 0.500], [0.500, 0.000, 0.500], [0.500, 0.500, 0.000], [0.000, 0.000, 0.500]]
}

{
  "formula": "NiSb2Au",
  "functional": "PBE",
  "state": "relaxed",
  "e_form_raw_ev_per_fu": -0.17,
  "m_tot_mub_per_fu": 0.00,
  "lattice": [[1.903, 1.099, 6.658], [-1.903, 1.099, 6.658], [0.000, -2.198, 6.658]],
  "species": ["Ni", "Sb", "Sb", "Au"],
  "frac_coords": [[0.000, 0.000, 0.000], [0.263, 0.263, 0.263], [0.737, 0.737, 0.737], [0.500, 0.500, 0.500]]
}

{
  "formula": "AcY2Cd2In2",
  "functional": "PBE",
  "state": "relaxed",
  "formation_energy_ev_per_atom": -0.30,
  "m_tot_mub_per_fu": 0.00,
  "lattice": [[2.509, 1.449, 9.350], [-2.509, 1.449, 9.350], [0.000, -2.897, 9.350]],
  "species": ["Ac", "Y", "Y", "Cd", "Cd", "In", "In"],
  "frac_coords": [[0.000, 0.000, 0.000], [0.133, 0.133, 0.133], [0.867, 0.867, 0.867], [0.425, 0.425, 0.425], [0.575, 0.575, 0.575], [0.258, 0.258, 0.258], [0.742, 0.742, 0.742]]
}